The following is a DFT calculation (meta-GGA SCAN) of Zr2SiRh at its PBEsol-relaxed geometry.

abc: 5.504 5.504 5.504
angles: 139.82 139.82 58.13
Fractional coordinates of all 4 atoms:
1 Zr 0.000 0.000 0.000
2 Zr 0.750 0.250 0.500
3 Si 0.250 0.750 0.500
4 Rh 0.500 0.500 0.000

Results
* ΔE_f (raw): -757 meV per atom
* final energy: -27.054 eV/atom
* space group: I-4m2